# CsCaBeBr2 (meta-GGA SCAN, single point on PBEsol structure)
# Crystal system: tetragonal
# Uncorrected formation energy (eV/atom): 0.02
# DOS at the Fermi energy (states/eV per cell): 2.5
data_CsCaBeBr2
_cell_length_a 5.244
_cell_length_b 5.244
_cell_length_c 5.667
_cell_angle_alpha 90.00
_cell_angle_beta 90.00
_cell_angle_gamma 90.00
_symmetry_space_group_name_H-M 'P 1'
_symmetry_Int_Tables_number 1
loop_
_symmetry_equiv_pos_as_xyz
'x,y,z'
loop_
_atom_site_label
_atom_site_type_symbol
_atom_site_fract_x
_atom_site_fract_y
_atom_site_fract_z
Be1 Be 0.000 0.000 0.000
Br1 Br 0.000 0.500 0.000
Br2 Br 0.500 0.000 0.000
Ca1 Ca 0.500 0.500 0.500
Cs1 Cs 0.000 0.000 0.500



# VCu12SnAs2S16 (meta-GGA SCAN, single point on PBEsol structure)
# Crystal system: tetragonal
# Uncorrected formation energy (eV/atom): -0.38
# DOS at the Fermi energy (states/eV per cell): 13.0
data_VCu12SnAs2S16
_cell_length_a 9.047
_cell_length_b 9.047
_cell_length_c 9.047
_cell_angle_alpha 109.60
_cell_angle_beta 109.60
_cell_angle_gamma 109.21
_symmetry_space_group_name_H-M 'P 1'
_symmetry_Int_Tables_number 1
loop_
_symmetry_equiv_pos_as_xyz
'x,y,z'
loop_
_atom_site_label
_atom_site_type_symbol
_atom_site_fract_x
_atom_site_fract_y
_atom_site_fract_z
Cu1 Cu 0.245 0.245 0.492
Cu2 Cu 0.497 0.746 0.743
Cu3 Cu 0.002 0.753 0.257
Cu4 Cu 0.247 0.503 0.249
Cu5 Cu 0.503 0.247 0.249
Cu6 Cu 0.248 0.755 0.000
Cu7 Cu 0.998 0.254 0.751
Cu8 Cu 0.755 0.248 0.000
Cu9 Cu 0.746 0.497 0.743
Cu10 Cu 0.753 0.002 0.257
Cu11 Cu 0.752 0.752 0.508
Cu12 Cu 0.254 0.998 0.751
S1 S 0.244 0.004 0.000
S2 S 0.496 0.251 0.496
S3 S 0.004 0.244 0.000
S4 S 0.749 0.245 0.246
S5 S 0.231 0.231 0.731
S6 S 0.000 0.755 0.504
S7 S 0.755 0.000 0.504
S8 S 0.251 0.496 0.496
S9 S 0.245 0.749 0.246
S10 S 0.500 0.500 0.269
S11 S 0.996 0.996 0.239
S12 S 0.504 0.000 0.754
S13 S 0.500 0.769 0.000
S14 S 0.000 0.504 0.754
S15 S 0.769 0.500 0.000
S16 S 0.756 0.756 0.761
Sn1 Sn 0.500 0.500 0.000
As1 As 0.500 0.000 0.500
As2 As 0.000 0.500 0.500
V1 V 0.000 0.000 0.000



# Ir2OsRu (meta-GGA SCAN, single point on PBEsol structure)
# Crystal system: monoclinic
# DOS at the Fermi energy (states/eV per cell): 3.3
# Final energy (eV/atom): -62.23
data_Ir2OsRu
_cell_length_a 2.691
_cell_length_b 4.670
_cell_length_c 4.669
_cell_angle_alpha 99.52
_cell_angle_beta 106.75
_cell_angle_gamma 90.00
_symmetry_space_group_name_H-M 'P 1'
_symmetry_Int_Tables_number 1
loop_
_symmetry_equiv_pos_as_xyz
'x,y,z'
loop_
_atom_site_label
_atom_site_type_symbol
_atom_site_fract_x
_atom_site_fract_y
_atom_site_fract_z
Ru1 Ru 0.751 0.252 0.502
Ir1 Ir 0.248 0.746 0.497
Ir2 Ir 0.001 0.004 0.002
Os1 Os 0.499 0.499 0.999



# SrHgOs2 (meta-GGA SCAN, single point on PBEsol structure)
# Crystal system: trigonal
# DOS at the Fermi energy (states/eV per cell): 0.9
# Final energy (eV/atom): -58.35
data_SrHgOs2
_cell_length_a 4.130
_cell_length_b 4.130
_cell_length_c 6.777
_cell_angle_alpha 72.26
_cell_angle_beta 72.26
_cell_angle_gamma 60.00
_symmetry_space_group_name_H-M 'P 1'
_symmetry_Int_Tables_number 1
loop_
_symmetry_equiv_pos_as_xyz
'x,y,z'
loop_
_atom_site_label
_atom_site_type_symbol
_atom_site_fract_x
_atom_site_fract_y
_atom_site_fract_z
Hg1 Hg 0.724 0.724 0.829
Sr1 Sr 0.507 0.507 0.479
Os1 Os 0.975 0.975 0.075
Os2 Os 0.287 0.287 0.140



# CrCd2Co (meta-GGA SCAN, single point on PBEsol structure)
# Crystal system: monoclinic
# DOS at the Fermi energy (states/eV per cell): 2.4
# Final energy (eV/atom): -23.58
data_CrCd2Co
_cell_length_a 2.735
_cell_length_b 3.875
_cell_length_c 5.853
_cell_angle_alpha 90.00
_cell_angle_beta 102.04
_cell_angle_gamma 90.00
_symmetry_space_group_name_H-M 'P 1'
_symmetry_Int_Tables_number 1
loop_
_symmetry_equiv_pos_as_xyz
'x,y,z'
loop_
_atom_site_label
_atom_site_type_symbol
_atom_site_fract_x
_atom_site_fract_y
_atom_site_fract_z
Cr1 Cr 0.349 0.500 0.708
Cd1 Cd 0.568 0.500 0.278
Cd2 Cd 0.948 0.000 0.973
Co1 Co 0.135 0.000 0.541



# SrAs2Se (meta-GGA SCAN, single point on PBEsol structure)
# Crystal system: monoclinic
# Uncorrected formation energy (eV/atom): -0.93
# DOS at the Fermi energy (states/eV per cell): 0.1
data_SrAs2Se
_cell_length_a 4.013
_cell_length_b 4.323
_cell_length_c 6.233
_cell_angle_alpha 112.38
_cell_angle_beta 90.00
_cell_angle_gamma 90.00
_symmetry_space_group_name_H-M 'P 1'
_symmetry_Int_Tables_number 1
loop_
_symmetry_equiv_pos_as_xyz
'x,y,z'
loop_
_atom_site_label
_atom_site_type_symbol
_atom_site_fract_x
_atom_site_fract_y
_atom_site_fract_z
As1 As 0.000 0.220 0.106
As2 As 0.500 0.594 0.136
Sr1 Sr 0.500 0.307 0.567
Se1 Se 0.000 0.878 0.692



# SrTcOs (meta-GGA SCAN, single point on PBEsol structure)
# Crystal system: cubic
# DOS at the Fermi energy (states/eV per cell): 3.4
# Final energy (eV/atom): -40.47
data_SrTcOs
_cell_length_a 4.496
_cell_length_b 4.496
_cell_length_c 4.496
_cell_angle_alpha 60.00
_cell_angle_beta 60.00
_cell_angle_gamma 60.00
_symmetry_space_group_name_H-M 'P 1'
_symmetry_Int_Tables_number 1
loop_
_symmetry_equiv_pos_as_xyz
'x,y,z'
loop_
_atom_site_label
_atom_site_type_symbol
_atom_site_fract_x
_atom_site_fract_y
_atom_site_fract_z
Sr1 Sr 0.250 0.250 0.250
Os1 Os 0.500 0.500 0.500
Tc1 Tc 0.000 0.000 0.000



# CsBe3Ag (meta-GGA SCAN, single point on PBEsol structure)
# Crystal system: cubic
# DOS at the Fermi energy (states/eV per cell): 1.6
# Final energy (eV/atom): -13.79
data_CsBe3Ag
_cell_length_a 4.960
_cell_length_b 4.960
_cell_length_c 4.960
_cell_angle_alpha 90.00
_cell_angle_beta 90.00
_cell_angle_gamma 90.00
_symmetry_space_group_name_H-M 'P 1'
_symmetry_Int_Tables_number 1
loop_
_symmetry_equiv_pos_as_xyz
'x,y,z'
loop_
_atom_site_label
_atom_site_type_symbol
_atom_site_fract_x
_atom_site_fract_y
_atom_site_fract_z
Cs1 Cs 0.000 0.000 0.000
Be1 Be 0.000 0.000 0.500
Be2 Be 0.000 0.500 0.000
Be3 Be 0.500 0.000 0.000
Ag1 Ag 0.500 0.500 0.500



# BeIn2Si (meta-GGA SCAN, single point on PBEsol structure)
# Crystal system: orthorhombic
# Uncorrected formation energy (eV/atom): 0.42
# DOS at the Fermi energy (states/eV per cell): 1.3
data_BeIn2Si
_cell_length_a 2.925
_cell_length_b 3.458
_cell_length_c 7.472
_cell_angle_alpha 90.00
_cell_angle_beta 90.00
_cell_angle_gamma 90.00
_symmetry_space_group_name_H-M 'P 1'
_symmetry_Int_Tables_number 1
loop_
_symmetry_equiv_pos_as_xyz
'x,y,z'
loop_
_atom_site_label
_atom_site_type_symbol
_atom_site_fract_x
_atom_site_fract_y
_atom_site_fract_z
Si1 Si 0.000 0.000 0.573
In1 In 0.000 0.000 0.953
In2 In 0.500 0.500 0.293
Be1 Be 0.500 0.500 0.681



# Ca2TeWS (meta-GGA SCAN, single point on PBEsol structure)
# Crystal system: tetragonal
# Uncorrected formation energy (eV/atom): -0.39
# DOS at the Fermi energy (states/eV per cell): 3.0
data_Ca2TeWS
_cell_length_a 4.412
_cell_length_b 5.296
_cell_length_c 5.296
_cell_angle_alpha 90.00
_cell_angle_beta 90.00
_cell_angle_gamma 90.00
_symmetry_space_group_name_H-M 'P 1'
_symmetry_Int_Tables_number 1
loop_
_symmetry_equiv_pos_as_xyz
'x,y,z'
loop_
_atom_site_label
_atom_site_type_symbol
_atom_site_fract_x
_atom_site_fract_y
_atom_site_fract_z
Ca1 Ca 0.000 0.000 0.500
Ca2 Ca 0.000 0.500 0.000
Te1 Te 0.500 0.500 0.500
S1 S 0.000 0.000 0.000
W1 W 0.500 0.000 0.000



# LiMo2Br (meta-GGA SCAN, single point on PBEsol structure)
# Crystal system: orthorhombic
# Uncorrected formation energy (eV/atom): 0.21
# DOS at the Fermi energy (states/eV per cell): 2.5
data_LiMo2Br
_cell_length_a 3.039
_cell_length_b 3.039
_cell_length_c 8.420
_cell_angle_alpha 90.00
_cell_angle_beta 90.00
_cell_angle_gamma 115.81
_symmetry_space_group_name_H-M 'P 1'
_symmetry_Int_Tables_number 1
loop_
_symmetry_equiv_pos_as_xyz
'x,y,z'
loop_
_atom_site_label
_atom_site_type_symbol
_atom_site_fract_x
_atom_site_fract_y
_atom_site_fract_z
Br1 Br 0.000 0.000 0.485
Mo1 Mo 0.000 0.000 0.981
Mo2 Mo 0.500 0.500 0.768
Li1 Li 0.500 0.500 0.265



# NiRh2Cl (meta-GGA SCAN, single point on PBEsol structure)
# Crystal system: orthorhombic
# Uncorrected formation energy (eV/atom): 0.20
# DOS at the Fermi energy (states/eV per cell): 3.8
data_NiRh2Cl
_cell_length_a 2.770
_cell_length_b 2.783
_cell_length_c 7.244
_cell_angle_alpha 90.00
_cell_angle_beta 90.05
_cell_angle_gamma 90.00
_symmetry_space_group_name_H-M 'P 1'
_symmetry_Int_Tables_number 1
loop_
_symmetry_equiv_pos_as_xyz
'x,y,z'
loop_
_atom_site_label
_atom_site_type_symbol
_atom_site_fract_x
_atom_site_fract_y
_atom_site_fract_z
Rh1 Rh 0.000 0.000 0.990
Rh2 Rh 0.500 0.500 0.230
Ni1 Ni 0.499 0.500 0.765
Cl1 Cl 0.500 0.000 0.514



# Tb3Ge5 (meta-GGA SCAN, single point on PBEsol structure)
# Crystal system: orthorhombic
# DOS at the Fermi energy (states/eV per cell): 5.6
# Final energy (eV/atom): -30.27
data_Tb3Ge5
_cell_length_a 5.699
_cell_length_b 7.381
_cell_length_c 9.026
_cell_angle_alpha 83.00
_cell_angle_beta 71.60
_cell_angle_gamma 67.29
_symmetry_space_group_name_H-M 'P 1'
_symmetry_Int_Tables_number 1
loop_
_symmetry_equiv_pos_as_xyz
'x,y,z'
loop_
_atom_site_label
_atom_site_type_symbol
_atom_site_fract_x
_atom_site_fract_y
_atom_site_fract_z
Tb1 Tb 0.999 0.003 0.500
Tb2 Tb 0.059 0.517 0.337
Tb3 Tb 0.336 0.017 0.837
Tb4 Tb 0.647 0.017 0.163
Tb5 Tb 0.749 0.503 0.000
Tb6 Tb 0.423 0.517 0.663
Ge1 Ge 0.746 0.177 0.826
Ge2 Ge 0.087 0.311 0.632
Ge3 Ge 0.077 0.177 0.174
Ge4 Ge 0.822 0.677 0.674
Ge5 Ge 0.602 0.311 0.368
Ge6 Ge 0.220 0.811 0.132
Ge7 Ge 0.969 0.811 0.868
Ge8 Ge 0.500 0.677 0.326
Ge9 Ge 0.548 0.905 0.500
Ge10 Ge 0.298 0.405 0.000



# TaSiTe2 (meta-GGA SCAN, single point on PBEsol structure)
# Crystal system: tetragonal
# Uncorrected formation energy (eV/atom): 0.32
# DOS at the Fermi energy (states/eV per cell): 1.4
data_TaSiTe2
_cell_length_a 3.385
_cell_length_b 3.385
_cell_length_c 7.174
_cell_angle_alpha 90.00
_cell_angle_beta 90.00
_cell_angle_gamma 90.00
_symmetry_space_group_name_H-M 'P 1'
_symmetry_Int_Tables_number 1
loop_
_symmetry_equiv_pos_as_xyz
'x,y,z'
loop_
_atom_site_label
_atom_site_type_symbol
_atom_site_fract_x
_atom_site_fract_y
_atom_site_fract_z
Te1 Te 0.000 0.000 0.730
Te2 Te 0.000 0.000 0.270
Ta1 Ta 0.500 0.500 0.500
Si1 Si 0.500 0.500 0.000



# BaSbN2F (meta-GGA SCAN, single point on PBEsol structure)
# Crystal system: tetragonal
# Uncorrected formation energy (eV/atom): -0.79
# DOS at the Fermi energy (states/eV per cell): 0.8
data_BaSbN2F
_cell_length_a 4.135
_cell_length_b 4.135
_cell_length_c 4.501
_cell_angle_alpha 90.00
_cell_angle_beta 90.00
_cell_angle_gamma 90.00
_symmetry_space_group_name_H-M 'P 1'
_symmetry_Int_Tables_number 1
loop_
_symmetry_equiv_pos_as_xyz
'x,y,z'
loop_
_atom_site_label
_atom_site_type_symbol
_atom_site_fract_x
_atom_site_fract_y
_atom_site_fract_z
F1 F 0.000 0.000 0.500
Sb1 Sb 0.000 0.000 0.000
N1 N 0.500 0.000 0.000
N2 N 0.000 0.500 0.000
Ba1 Ba 0.500 0.500 0.500



# HfCrNi2Rh (meta-GGA SCAN, single point on PBEsol structure)
# Crystal system: tetragonal
# DOS at the Fermi energy (states/eV per cell): 3.1
# Final energy (eV/atom): -27.94
data_HfCrNi2Rh
_cell_length_a 4.343
_cell_length_b 4.343
_cell_length_c 4.552
_cell_angle_alpha 90.00
_cell_angle_beta 90.00
_cell_angle_gamma 90.00
_symmetry_space_group_name_H-M 'P 1'
_symmetry_Int_Tables_number 1
loop_
_symmetry_equiv_pos_as_xyz
'x,y,z'
loop_
_atom_site_label
_atom_site_type_symbol
_atom_site_fract_x
_atom_site_fract_y
_atom_site_fract_z
Hf1 Hf 0.000 0.000 0.000
Ni1 Ni 0.000 0.500 0.000
Ni2 Ni 0.500 0.000 0.000
Rh1 Rh 0.500 0.500 0.500
Cr1 Cr 0.000 0.000 0.500



# CaSn3P4O14 (meta-GGA SCAN, single point on PBEsol structure)
# Crystal system: monoclinic
# Uncorrected formation energy (eV/atom): -2.27
# DOS at the Fermi energy (states/eV per cell): 0.0
data_CaSn3P4O14
_cell_length_a 7.365
_cell_length_b 8.469
_cell_length_c 10.306
_cell_angle_alpha 105.07
_cell_angle_beta 90.00
_cell_angle_gamma 90.00
_symmetry_space_group_name_H-M 'P 1'
_symmetry_Int_Tables_number 1
loop_
_symmetry_equiv_pos_as_xyz
'x,y,z'
loop_
_atom_site_label
_atom_site_type_symbol
_atom_site_fract_x
_atom_site_fract_y
_atom_site_fract_z
Ca1 Ca 0.000 0.500 0.000
Ca2 Ca 0.500 0.500 0.500
O1 O 0.077 0.098 0.401
O2 O 0.630 0.631 0.154
O3 O 0.708 0.368 0.897
O4 O 0.451 0.379 0.135
O5 O 0.716 0.903 0.322
O6 O 0.406 0.620 0.336
O7 O 0.094 0.620 0.836
O8 O 0.577 0.902 0.099
O9 O 0.105 0.220 0.896
O10 O 0.216 0.097 0.178
O11 O 0.208 0.632 0.603
O12 O 0.284 0.097 0.678
O13 O 0.423 0.098 0.901
O14 O 0.784 0.903 0.822
O15 O 0.895 0.780 0.104
O16 O 0.130 0.369 0.346
O17 O 0.605 0.780 0.604
O18 O 0.792 0.368 0.397
O19 O 0.049 0.379 0.635
O20 O 0.906 0.380 0.164
O21 O 0.870 0.631 0.654
O22 O 0.370 0.369 0.846
O23 O 0.923 0.902 0.599
O24 O 0.951 0.621 0.365
O25 O 0.594 0.380 0.664
O26 O 0.395 0.220 0.396
O27 O 0.549 0.621 0.865
O28 O 0.292 0.632 0.103
P1 P 0.065 0.564 0.685
P2 P 0.565 0.436 0.815
P3 P 0.935 0.436 0.315
P4 P 0.711 0.815 0.175
P5 P 0.789 0.815 0.675
P6 P 0.211 0.185 0.325
P7 P 0.289 0.185 0.825
P8 P 0.435 0.564 0.185
Sn1 Sn 0.639 0.202 0.033
Sn2 Sn 0.361 0.798 0.967
Sn3 Sn 0.139 0.798 0.467
Sn4 Sn 0.500 0.000 0.500
Sn5 Sn 0.000 0.000 0.000
Sn6 Sn 0.861 0.202 0.533



# Ca2Se3O8 (meta-GGA SCAN, single point on PBEsol structure)
# Crystal system: triclinic
# Uncorrected formation energy (eV/atom): -1.81
# DOS at the Fermi energy (states/eV per cell): 0.0
data_Ca2Se3O8
_cell_length_a 5.488
_cell_length_b 8.219
_cell_length_c 8.716
_cell_angle_alpha 92.62
_cell_angle_beta 96.32
_cell_angle_gamma 97.93
_symmetry_space_group_name_H-M 'P 1'
_symmetry_Int_Tables_number 1
loop_
_symmetry_equiv_pos_as_xyz
'x,y,z'
loop_
_atom_site_label
_atom_site_type_symbol
_atom_site_fract_x
_atom_site_fract_y
_atom_site_fract_z
O1 O 0.510 0.480 0.687
O2 O 0.547 0.074 0.179
O3 O 0.545 0.818 0.479
O4 O 0.314 0.749 0.127
O5 O 0.987 0.919 0.861
O6 O 0.078 0.866 0.582
O7 O 0.755 0.573 0.970
O8 O 0.132 0.235 0.720
O9 O 0.245 0.427 0.030
O10 O 0.922 0.134 0.418
O11 O 0.455 0.182 0.521
O12 O 0.490 0.520 0.313
O13 O 0.013 0.081 0.139
O14 O 0.686 0.251 0.873
O15 O 0.868 0.765 0.280
O16 O 0.453 0.926 0.821
Se1 Se 0.721 0.677 0.423
Se2 Se 0.279 0.323 0.577
Se3 Se 0.829 0.194 0.238
Se4 Se 0.171 0.806 0.762
Se5 Se 0.214 0.557 0.177
Se6 Se 0.786 0.443 0.823
Ca1 Ca 0.707 0.839 0.039
Ca2 Ca 0.758 0.044 0.653
Ca3 Ca 0.293 0.161 0.961
Ca4 Ca 0.242 0.956 0.347



# ZnOsBr2 (meta-GGA SCAN, single point on PBEsol structure)
# Crystal system: monoclinic
# Uncorrected formation energy (eV/atom): 0.17
# DOS at the Fermi energy (states/eV per cell): 1.3
data_ZnOsBr2
_cell_length_a 3.140
_cell_length_b 3.942
_cell_length_c 7.322
_cell_angle_alpha 105.55
_cell_angle_beta 90.00
_cell_angle_gamma 90.00
_symmetry_space_group_name_H-M 'P 1'
_symmetry_Int_Tables_number 1
loop_
_symmetry_equiv_pos_as_xyz
'x,y,z'
loop_
_atom_site_label
_atom_site_type_symbol
_atom_site_fract_x
_atom_site_fract_y
_atom_site_fract_z
Br1 Br 0.000 0.904 0.933
Br2 Br 0.500 0.597 0.318
Zn1 Zn 0.500 0.268 0.661
Os1 Os 0.000 0.731 0.587



# RbTaCr3 (meta-GGA SCAN, single point on PBEsol structure)
# Crystal system: cubic
# DOS at the Fermi energy (states/eV per cell): 3.6
# Final energy (eV/atom): -25.60
data_RbTaCr3
_cell_length_a 4.350
_cell_length_b 4.350
_cell_length_c 4.350
_cell_angle_alpha 90.00
_cell_angle_beta 90.00
_cell_angle_gamma 90.00
_symmetry_space_group_name_H-M 'P 1'
_symmetry_Int_Tables_number 1
loop_
_symmetry_equiv_pos_as_xyz
'x,y,z'
loop_
_atom_site_label
_atom_site_type_symbol
_atom_site_fract_x
_atom_site_fract_y
_atom_site_fract_z
Cr1 Cr 0.000 0.000 0.500
Cr2 Cr 0.500 0.000 0.000
Cr3 Cr 0.000 0.500 0.000
Rb1 Rb 0.000 0.000 0.000
Ta1 Ta 0.500 0.500 0.500